Entry 1:
5
Lattice="3.967 0.000 0.000 0.000 3.967 0.000 0.000 0.000 3.967" Properties=species:S:1:pos:R:3 comment="NaSiO3, relaxed, DFT PBE" volume_a3_per_atom=12.484 sg=Pm-3m formation_energy_uncorrected_mev_per_atom=626 pbc="T T T"
O 0.000 1.983 0.000
O 0.000 0.000 1.983
O 1.983 0.000 0.000
Si 1.983 1.983 1.983
Na 0.000 0.000 0.000

---

Entry 2:
16
Lattice="9.776 0.000 1.169 0.000 5.308 0.000 3.232 0.000 5.486" Properties=species:S:1:pos:R:3 comment="NaSiO2, relaxed, DFT PBE" volume_a3_per_atom=16.537 sg=P2/c formation_energy_uncorrected_mev_per_atom=-2075 pbc="T T T"
O 6.194 1.466 1.219
O 9.821 4.325 1.833
O 3.187 0.983 4.821
O 2.922 3.841 3.377
O 10.086 1.466 3.277
O 6.549 0.983 3.992
O 6.459 4.325 2.663
O 6.814 3.841 5.436
Si 9.326 0.630 2.145
Si 6.054 4.678 4.304
Si 6.954 0.630 2.351
Si 3.682 4.678 4.509
Na 8.306 2.132 4.746
Na 1.802 3.176 1.419
Na 11.206 2.132 5.236
Na 4.702 3.176 1.909

---

Entry 3:
10
Lattice="4.762 0.000 0.000 0.000 5.557 0.000 0.000 -2.779 4.813" Properties=species:S:1:pos:R:3 comment="NaSiO3, relaxed, DFT PBE" volume_a3_per_atom=12.735 sg=P6_322 formation_energy_uncorrected_mev_per_atom=-1908 pbc="T T T"
O 0.000 2.107 3.650
O 2.381 -2.107 3.650
O 2.381 4.214 0.000
O 2.381 0.671 1.163
O 0.000 -0.671 1.163
O 0.000 1.343 0.000
Na 1.190 2.779 1.604
Na 3.571 0.000 3.208
Si 3.571 0.000 0.000
Si 1.190 0.000 0.000